1.
# GGA-PBE BIrBr3, relaxed
# formation energy (no corrections) = 1.1071 eV per atom
# magnetic moment = 0.0 μB per cell
data_BIrBr3
_chemical_formula_sum 'B1 Ir1 Br3'
_symmetry_space_group_name_H-M 'P m -3 m'
_symmetry_Int_Tables_number 221
_symmetry_space_group_name_Hall '-P 4 2 3'
_cell_length_a 5.070
_cell_length_b 5.070
_cell_length_c 5.070
_cell_angle_alpha 90.00
_cell_angle_beta 90.00
_cell_angle_gamma 90.00
loop_
_atom_site_label
_atom_site_type_symbol
_atom_site_fract_x
_atom_site_fract_y
_atom_site_fract_z
B1 B 0.000 0.000 0.000
Ir1 Ir 0.500 0.500 0.500
Br1 Br 0.000 0.500 0.500

=====

2.
# GGA-PBE MgMnIr, relaxed
# calculated formation energy = -0.61 eV/f.u.
# magnetic moment = 0.0 μB per cell
data_MgMnIr
_chemical_formula_sum 'Mg4 Mn4 Ir4'
_symmetry_space_group_name_H-M 'C m c m'
_symmetry_Int_Tables_number 63
_symmetry_space_group_name_Hall '-C 2c 2'
_cell_length_a 3.923
_cell_length_b 11.437
_cell_length_c 4.031
_cell_angle_alpha 90.00
_cell_angle_beta 90.00
_cell_angle_gamma 90.00
loop_
_atom_site_label
_atom_site_type_symbol
_atom_site_fract_x
_atom_site_fract_y
_atom_site_fract_z
Mg1 Mg 0.000 0.250 0.250
Mn1 Mn 0.000 0.068 0.750
Ir1 Ir 0.000 0.423 0.750

=====

3.
# GGA-PBE Hf3CoPb, relaxed
# calculated formation energy = -0.84 eV/f.u.
# magnetic moment = 0.0 μB per cell
data_Hf3CoPb
_chemical_formula_sum 'Hf6 Co2 Pb2'
_symmetry_space_group_name_H-M 'P 1 21/m 1'
_symmetry_Int_Tables_number 11
_cell_length_a 7.676
_cell_length_b 3.873
_cell_length_c 7.774
_cell_angle_alpha 90.00
_cell_angle_beta 115.52
_cell_angle_gamma 90.00
loop_
_symmetry_equiv_pos_as_xyz
'x,y,z'
'-x,-y,-z'
'-x,y+1/2,-z'
'x,-y+1/2,z'
loop_
_atom_site_label
_atom_site_type_symbol
_atom_site_fract_x
_atom_site_fract_y
_atom_site_fract_z
Hf1 Hf 0.025 0.250 0.217
Hf2 Hf 0.312 0.750 0.588
Hf3 Hf 0.330 0.250 0.908
Co1 Co 0.071 0.250 0.587
Pb1 Pb 0.329 0.750 0.206

=====

4.
# GGA-PBE LaPdSe2, relaxed
# formation energy (no corrections) = -1.0544 eV per atom
# magnetic moment = 0.0 μB per cell
data_LaPdSe2
_chemical_formula_sum 'La4 Pd4 Se8'
_symmetry_space_group_name_H-M 'F m -3 m'
_symmetry_Int_Tables_number 225
_symmetry_space_group_name_Hall '-F 4 2 3'
_cell_length_a 7.081
_cell_length_b 7.081
_cell_length_c 7.081
_cell_angle_alpha 90.00
_cell_angle_beta 90.00
_cell_angle_gamma 90.00
loop_
_atom_site_label
_atom_site_type_symbol
_atom_site_fract_x
_atom_site_fract_y
_atom_site_fract_z
La1 La 0.000 0.000 0.000
Pd1 Pd 0.000 0.000 0.500
Se1 Se 0.250 0.250 0.250

=====

5.
# GGA-PBE SmNbBrO4, relaxed
# formation energy (no corrections) = -2.4926 eV per atom
# magnetic moment = 0.0 μB per cell
data_SmNbBrO4
_chemical_formula_sum 'Sm4 Nb4 Br4 O16'
_symmetry_space_group_name_H-M 'C 1 2/m 1'
_symmetry_Int_Tables_number 12
_cell_length_a 12.586
_cell_length_b 6.581
_cell_length_c 7.106
_cell_angle_alpha 90.00
_cell_angle_beta 104.31
_cell_angle_gamma 90.00
loop_
_symmetry_equiv_pos_as_xyz
'x,y,z'
'-x,-y,-z'
'-x,y,-z'
'x,-y,z'
'x+1/2,y+1/2,z'
'-x+1/2,-y+1/2,-z'
'-x+1/2,y+1/2,-z'
'x+1/2,-y+1/2,z'
loop_
_atom_site_label
_atom_site_type_symbol
_atom_site_fract_x
_atom_site_fract_y
_atom_site_fract_z
Sm1 Sm 0.209 0.000 0.342
Nb1 Nb 0.127 0.000 0.755
Br1 Br 0.013 0.500 0.166
O1 O 0.024 0.000 0.287
O2 O 0.180 0.216 0.623
O3 O 0.192 0.000 0.018

=====

6.
# GGA-PBE SnGe3Cl8, relaxed
# formation energy (no corrections) = -0.8240 eV per atom
# magnetic moment = 0.0 μB per cell
data_SnGe3Cl8
_chemical_formula_sum 'Sn1 Ge3 Cl8'
_symmetry_space_group_name_H-M 'P 1'
_symmetry_Int_Tables_number 1
_cell_length_a 5.710
_cell_length_b 8.913
_cell_length_c 9.750
_cell_angle_alpha 114.12
_cell_angle_beta 98.13
_cell_angle_gamma 97.91
loop_
_symmetry_equiv_pos_as_xyz
'x,y,z'
loop_
_atom_site_label
_atom_site_type_symbol
_atom_site_fract_x
_atom_site_fract_y
_atom_site_fract_z
Sn1 Sn 0.000 0.000 0.000
Ge1 Ge 0.111 0.196 0.575
Ge2 Ge 0.338 0.590 0.995
Ge3 Ge 0.452 0.813 0.585
Cl1 Cl 0.110 0.196 0.334
Cl2 Cl 0.138 0.321 0.946
Cl3 Cl 0.306 0.493 0.702
Cl4 Cl 0.463 0.676 0.330
Cl5 Cl 0.500 0.105 0.594
Cl6 Cl 0.542 0.957 0.983
Cl7 Cl 0.883 0.850 0.670
Cl8 Cl 0.964 0.690 0.001